A plane-wave DFT calculation with PBE was carried out for Ca2LaSc2 after structural relaxation.

Summary:
- Final energy: -4.06 eV/atom
- E_form: 0.258 eV per atom
- Excess energy over the best structure of this formula in the dataset: 0 meV per atom
- Spin magnetization: 0.00 μB per formula unit
- Calculated volume: 332.6 Å³ per cell
- SG: P4/mbm, No. 127

POSCAR file:
```
Ca2LaSc2
1.0
9.299 0.000 0.000
0.000 9.299 0.000
0.000 0.000 3.846
Ca La Sc
4 2 4
direct
0.173 0.327 0.000
0.327 0.827 0.000
0.673 0.173 0.000
0.827 0.673 0.000
0.000 0.000 0.500
0.500 0.500 0.500
0.121 0.621 0.500
0.379 0.121 0.500
0.621 0.879 0.500
0.879 0.379 0.500
```



A plane-wave DFT calculation with PBE was carried out for SbOs4Au after structural relaxation.

Summary:
- Final energy: -7.76 eV/atom
- Spin magnetization: 0.00 μB per formula unit
- Formation energy from raw total energies: 0.962 eV/atom
- Calculated volume: 104.0 Å³ per cell
- SG: F-43m, No. 216

POSCAR file:
```
SbOs4Au
1.0
0.000 3.733 3.733
3.733 0.000 3.733
3.733 3.733 0.000
Sb Os Au
1 4 1
direct
0.000 0.000 0.000
0.375 0.375 0.375
0.375 0.375 0.874
0.375 0.874 0.375
0.874 0.375 0.375
0.750 0.750 0.750
```



A plane-wave DFT calculation with PBE was carried out for Er5Tm2Ga4 after structural relaxation.

Summary:
- Final energy: -4.01 eV/atom
- E_form: -0.020 eV per atom
- Spin magnetization: 0.00 μB per formula unit
- Calculated volume: 326.5 Å³ per cell
- SG: Immm, No. 71

POSCAR file:
```
Er5Tm2Ga4
1.0
-2.340 5.286 6.599
2.340 -5.286 6.599
2.340 5.286 -6.599
Er Tm Ga
5 2 4
direct
0.000 0.000 0.000
0.179 0.345 0.834
0.488 0.655 0.834
0.512 0.345 0.166
0.821 0.655 0.166
0.194 0.694 0.500
0.806 0.306 0.500
0.144 0.500 0.644
0.406 0.906 0.500
0.594 0.094 0.500
0.856 0.500 0.356
```



A plane-wave DFT calculation with PBE was carried out for TbAl9Fe2 after structural relaxation.

Summary:
- Final energy: -4.91 eV/atom
- E_form: -0.309 eV per atom
- Spin magnetization: 0.00 μB per formula unit
- Calculated volume: 379.1 Å³ per cell
- SG: I4_1/amd, No. 141

POSCAR file:
```
TbAl9Fe2
1.0
-5.302 5.302 3.372
5.302 -5.302 3.372
5.302 5.302 -3.372
Tb Al Fe
2 18 4
direct
0.375 0.625 0.750
0.625 0.375 0.250
0.125 0.875 0.250
0.139 0.569 0.325
0.139 0.814 0.570
0.186 0.257 0.325
0.186 0.861 0.930
0.257 0.186 0.825
0.257 0.431 0.070
0.431 0.257 0.570
0.431 0.861 0.175
0.569 0.139 0.825
0.569 0.743 0.430
0.743 0.569 0.930
0.743 0.814 0.175
0.814 0.139 0.070
0.814 0.743 0.675
0.861 0.186 0.430
0.861 0.431 0.675
0.875 0.125 0.750
0.000 0.000 0.000
0.000 0.000 0.500
0.000 0.500 0.000
0.500 0.000 0.500
```



A plane-wave DFT calculation with PBE was carried out for CeHfOs after structural relaxation.

Summary:
- Final energy: -9.27 eV/atom
- E_form: -0.231 eV per atom
- Excess energy over the best structure of this formula in the dataset: 0 meV per atom
- Spin magnetization: 0.32 μB per formula unit
- Calculated volume: 269.7 Å³ per cell
- SG: Cmcm, No. 63

POSCAR file:
```
CeHfOs
1.0
3.592 0.000 0.000
0.000 11.631 0.000
0.000 0.000 6.455
Ce Hf Os
4 4 4
direct
0.000 0.209 0.250
0.000 0.791 0.750
0.500 0.291 0.750
0.500 0.709 0.250
0.000 0.500 0.000
0.000 0.500 0.500
0.500 0.000 0.000
0.500 0.000 0.500
0.000 0.113 0.750
0.000 0.887 0.250
0.500 0.387 0.250
0.500 0.613 0.750
```



A plane-wave DFT calculation with PBE was carried out for RbReN2 after structural relaxation.

Summary:
- Final energy: -7.71 eV/atom
- Excess energy over the best structure of this formula in the dataset: 0 meV per atom
- Spin magnetization: 0.00 μB per formula unit
- Formation energy from raw total energies: -0.196 eV/atom
- Calculated volume: 626.2 Å³ per cell
- SG: Pbcm, No. 57

POSCAR file:
```
RbReN2
1.0
8.058 0.000 0.000
0.000 6.280 0.000
0.000 0.000 12.375
Rb Re N
8 8 16
direct
0.116 0.102 0.250
0.116 0.398 0.750
0.370 0.250 0.000
0.370 0.250 0.500
0.630 0.750 0.000
0.630 0.750 0.500
0.884 0.602 0.250
0.884 0.898 0.750
0.128 0.750 0.000
0.128 0.750 0.500
0.382 0.654 0.250
0.382 0.846 0.750
0.618 0.154 0.250
0.618 0.346 0.750
0.872 0.250 0.000
0.872 0.250 0.500
0.000 0.000 0.000
0.000 0.000 0.500
0.000 0.500 0.000
0.000 0.500 0.500
0.261 0.711 0.124
0.261 0.711 0.376
0.261 0.789 0.624
0.261 0.789 0.876
0.450 0.135 0.750
0.450 0.365 0.250
0.550 0.635 0.750
0.550 0.865 0.250
0.739 0.211 0.124
0.739 0.211 0.376
0.739 0.289 0.624
0.739 0.289 0.876
```



A plane-wave DFT calculation with PBE was carried out for Dy6HoMg2 after structural relaxation.

Summary:
- Final energy: -3.74 eV/atom
- E_form: 0.187 eV per atom
- Spin magnetization: 0.00 μB per formula unit
- Calculated volume: 273.9 Å³ per cell
- SG: R3, No. 146

POSCAR file:
```
Dy6HoMg2
1.0
3.310 1.911 7.218
-3.310 1.911 7.218
0.000 -3.822 7.218
Dy Ho Mg
6 1 2
direct
0.003 0.456 0.541
0.293 0.839 0.395
0.395 0.293 0.839
0.456 0.541 0.003
0.541 0.003 0.456
0.839 0.395 0.293
0.055 0.055 0.055
0.783 0.783 0.783
0.916 0.916 0.916
```



A plane-wave DFT calculation with PBE was carried out for CsGeSb after structural relaxation.

Summary:
- Final energy: -3.28 eV/atom
- Spin magnetization: 0.00 μB per formula unit
- Formation energy from raw total energies: -0.078 eV/atom
- Calculated volume: 599.0 Å³ per cell
- SG: C2/m, No. 12

POSCAR file:
```
CsGeSb
1.0
13.609 0.000 0.000
0.000 5.975 0.000
-0.258 0.000 7.366
Cs Ge Sb
4 4 4
direct
0.134 0.000 0.259
0.366 0.500 0.741
0.634 0.500 0.259
0.866 0.000 0.741
0.084 0.500 0.566
0.416 0.000 0.434
0.584 0.000 0.566
0.916 0.500 0.434
0.092 0.500 0.915
0.408 0.000 0.085
0.592 0.000 0.915
0.908 0.500 0.085
```



> What is the formula in the seventh record?

Dy6HoMg2



> Which formula does entry 1 have?

Ca2LaSc2